# 1
6
Lattice="0.0000 4.0903 4.0903 4.0903 0.0000 4.0903 4.0903 4.0903 0.0000" Properties=species:S:1:pos:R:3 comment="PBE AgTeSe4, optimized geometry" m_tot_mub_per_atom=0.00 rho_kg_m3=6689 e_form_raw_ev_per_fu=3.6 e_above_lowest_polymorph_mev_per_atom=539 spacegroup="F-43m, No. 216" pbc="T T T"
Ag 0.0000 0.0000 0.0000
Te 6.1354 6.1354 6.1354
Se 3.0670 5.1136 5.1136
Se 5.1136 5.1136 3.0670
Se 5.1136 3.0670 5.1136
Se 3.0670 3.0670 3.0670


# 2
4
Lattice="6.3698 0.0016 0.0000 3.4587 5.3490 0.0000 -4.9143 -2.6753 3.0442" Properties=species:S:1:pos:R:3 comment="PBE AgTe2Se, optimized geometry" m_tot_mub_per_atom=0.00 rho_kg_m3=7078 e_form_raw_ev_per_fu=1.6 spacegroup="I4/mmm, No. 139" pbc="T T T"
Ag 1.7294 2.6745 1.5221
Se 3.1849 0.0008 1.5221
Te 0.0000 0.0000 0.0000
Te 4.9143 2.6753 0.0000


# 3
19
Lattice="7.7105 -0.1122 -1.2774 -1.4882 7.5663 -1.2774 -0.0937 -0.1122 7.8150" Properties=species:S:1:pos:R:3 comment="PBE Ag12TeSe6, optimized geometry" m_tot_mub_per_atom=0.00 rho_kg_m3=6959 e_form_raw_ev_per_fu=-0.5 e_above_lowest_polymorph_mev_per_atom=0 spacegroup="R-3, No. 148" pbc="T T T"
Ag 5.4307 3.9555 1.3787
Ag 1.8056 6.0501 2.6786
Ag 3.5011 2.8577 5.1589
Ag 0.6978 3.3864 3.8815
Ag 4.3229 1.2917 2.5816
Ag 2.6274 4.4841 0.1013
Ag -1.0156 6.5506 1.3223
Ag -0.1106 5.0368 6.4645
Ag 3.8169 7.1705 -1.0893
Ag 7.1441 0.7912 3.9379
Ag 6.2391 2.3050 -1.2043
Ag 2.3116 0.1713 6.3496
Te 0.0000 0.0000 0.0000
Se 4.2046 6.3808 1.4497
Se 3.8577 2.0647 0.0171
Se 0.2204 4.1646 1.3240
Se 1.9239 0.9610 3.8105
Se 2.2708 5.2771 5.2431
Se 5.9081 3.1773 3.9362


# 4
4
Lattice="-2.8318 2.4730 1.3269 -2.7687 -2.7656 -0.7544 0.7160 -2.3061 5.8259" Properties=species:S:1:pos:R:3 comment="PBE AgTe2Se, optimized geometry" m_tot_mub_per_atom=0.00 rho_kg_m3=7325 e_form_raw_ev_per_fu=1.4 spacegroup="P4/mmm, No. 123" pbc="T T T"
Ag -2.6212 -0.7228 1.7427
Se -2.2632 -1.8758 4.6556
Te 0.0133 -0.0428 0.1081
Te 0.3447 -1.1102 2.8049